Material: Sc2AlAgP
Method: DFT, PBE
State: optimized geometry

Geometry as POSCAR:
```
Sc2AlAgP
1.0
-4.454 2.197 -1.445
0.959 -0.844 -4.241
-2.379 -4.578 0.373
Sc P Ag Al
2 1 1 1
Direct
0.500 0.000 0.000 Sc
0.000 0.000 0.500 Sc
0.000 0.500 0.000 P
0.500 0.500 0.500 Ag
0.000 0.000 0.000 Al
```

Properties
E_form in meV/atom: 392.8
Space-group type: P4/mmm, No. 123



Material: ZnPdAu3
Method: DFT, PBE
State: optimized geometry

Geometry as POSCAR:
```
ZnPdAu3
1.0
-4.128 2.729 0.107
-3.211 -1.726 -3.364
-4.846 -3.356 4.817
Au Zn Pd
6 2 2
Direct
0.969 0.358 0.809 Au
0.158 0.339 0.413 Au
0.253 0.850 0.202 Au
0.659 0.839 0.411 Au
0.442 0.831 0.806 Au
0.752 0.350 0.203 Au
0.362 0.342 0.002 Zn
0.049 0.846 0.613 Zn
0.569 0.328 0.616 Pd
0.842 0.861 0.998 Pd
```

Properties
E_form in meV/atom: -181.3
Space-group type: P-1, No. 2



Material: Ho6Rh5Au
Method: DFT, PBE
State: optimized geometry

Geometry as POSCAR:
```
Ho6Rh5Au
1.0
4.593 -0.027 1.548
0.037 6.933 0.012
0.023 -0.014 7.676
Rh Ho Au
5 6 1
Direct
0.333 0.000 0.335 Rh
0.334 0.500 0.333 Rh
0.667 0.000 0.665 Rh
0.000 0.500 0.000 Rh
0.666 0.500 0.667 Rh
0.500 0.743 0.000 Ho
0.831 0.748 0.340 Ho
0.831 0.252 0.340 Ho
0.169 0.748 0.660 Ho
0.169 0.252 0.660 Ho
0.500 0.257 0.000 Ho
0.000 0.000 0.000 Au
```

Properties
E_form in meV/atom: -887.8
Space-group type: P2/m, No. 10



Material: Rb2URe3O12
Method: DFT, PBE
State: optimized geometry

Geometry as POSCAR:
```
Rb2URe3O12
1.0
7.555 0.156 0.111
3.867 6.492 0.111
3.867 2.251 6.091
Re O Rb U
3 12 2 1
Direct
0.000 0.000 0.500 Re
0.000 0.500 0.000 Re
0.500 0.000 0.000 Re
0.074 0.074 0.663 O
0.926 0.337 0.926 O
0.926 0.926 0.337 O
0.698 0.068 0.698 O
0.068 0.698 0.698 O
0.932 0.302 0.302 O
0.074 0.663 0.074 O
0.337 0.926 0.926 O
0.663 0.074 0.074 O
0.698 0.698 0.068 O
0.302 0.302 0.932 O
0.302 0.932 0.302 O
0.624 0.624 0.624 Rb
0.376 0.376 0.376 Rb
0.000 0.000 0.000 U
```

Properties
Formation energy (no corrections) in eV/f.u.: -35.83
Space-group type: R-3m, No. 166



Material: Sm6BiSb3As2
Method: DFT, PBE
State: optimized geometry

Geometry as POSCAR:
```
Sm6BiSb3As2
1.0
4.391 0.000 0.000
0.000 8.817 0.322
-2.196 -2.531 9.246
Sm Sb Bi As
6 3 1 2
Direct
0.671 0.097 0.341 Sm
0.007 0.258 0.013 Sm
0.671 0.575 0.342 Sm
0.329 0.425 0.658 Sm
0.329 0.903 0.659 Sm
0.993 0.742 0.987 Sm
0.500 0.500 0.000 Sb
0.836 0.168 0.673 Sb
0.164 0.832 0.327 Sb
0.500 0.000 0.000 Bi
0.832 0.665 0.663 As
0.168 0.335 0.337 As
```

Properties
Formation energy (no corrections) in eV/f.u.: -14.75
Space-group type: C2/m, No. 12



Material: PaSe2ClO8
Method: DFT, PBE
State: optimized geometry

Geometry as POSCAR:
```
PaSe2ClO8
1.0
-5.032 1.065 3.607
-0.561 -3.410 -5.246
1.126 -4.762 2.976
O Pa Se Cl
8 1 2 1
Direct
0.616 0.808 0.859 O
0.384 0.192 0.141 O
0.808 0.192 0.141 O
0.192 0.808 0.859 O
0.667 0.333 0.543 O
0.808 0.616 0.141 O
0.192 0.384 0.859 O
0.333 0.667 0.457 O
0.000 0.000 0.000 Pa
0.667 0.333 0.261 Se
0.333 0.667 0.739 Se
0.000 0.000 0.500 Cl
```

Properties
Formation energy (no corrections) in eV/f.u.: -15.31
Space-group type: P-3m1, No. 164



Here are the calculated volume numbers, same order: 118.5; 167.9; 244.2; 291.4; 361.6; 195.7 (Å³/cell).